1.
# LaRePb3 | Alexandria | SCAN | single point on PBEsol structure
data_LaRePb3
_chemical_formula_sum 'La1 Re1 Pb3'
_symmetry_space_group_name_H-M 'P 1'
_symmetry_Int_Tables_number 1
_symmetry_space_group_name_Hall 'P 1'
_cell_length_a 5.276
_cell_length_b 5.276
_cell_length_c 5.276
_cell_angle_alpha 90.00
_cell_angle_beta 90.00
_cell_angle_gamma 90.00
loop_
_atom_site_label
_atom_site_type_symbol
_atom_site_fract_x
_atom_site_fract_y
_atom_site_fract_z
La1 La 0.000 0.000 0.000
Re1 Re 0.500 0.500 0.500
Pb1 Pb 0.000 0.500 0.500
Pb2 Pb 0.500 0.000 0.500
Pb3 Pb 0.500 0.500 0.000
# space group: No. 221
# volume: 146.8 Å³/cell
# ΔH_f (0 K): 364 meV per atom
# magnetization: 0.0 μB/cell

2.
# Cs3U2PO10 | Alexandria | SCAN | single point on PBEsol structure
data_Cs3U2PO10
_chemical_formula_sum 'Cs6 U4 P2 O20'
_symmetry_space_group_name_H-M 'P 1'
_symmetry_Int_Tables_number 1
_symmetry_space_group_name_Hall 'P 1'
_cell_length_a 7.911
_cell_length_b 7.911
_cell_length_c 12.391
_cell_angle_alpha 110.93
_cell_angle_beta 110.93
_cell_angle_gamma 61.81
loop_
_atom_site_label
_atom_site_type_symbol
_atom_site_fract_x
_atom_site_fract_y
_atom_site_fract_z
Cs1 Cs 0.000 0.000 0.000
Cs2 Cs 0.000 0.000 0.500
Cs3 Cs 0.012 0.583 0.681
Cs4 Cs 0.417 0.988 0.819
Cs5 Cs 0.583 0.012 0.181
Cs6 Cs 0.988 0.417 0.319
U1 U 0.000 0.500 0.000
U2 U 0.500 0.000 0.500
U3 U 0.500 0.500 0.000
U4 U 0.500 0.500 0.500
P1 P 0.264 0.736 0.250
P2 P 0.736 0.264 0.750
O1 O 0.060 0.751 0.165
O2 O 0.187 0.297 0.076
O3 O 0.215 0.489 0.930
O4 O 0.249 0.940 0.335
O5 O 0.259 0.601 0.543
O6 O 0.297 0.187 0.576
O7 O 0.328 0.586 0.324
O8 O 0.399 0.741 0.957
O9 O 0.414 0.672 0.176
O10 O 0.489 0.215 0.430
O11 O 0.511 0.785 0.570
O12 O 0.586 0.328 0.824
O13 O 0.601 0.259 0.043
O14 O 0.672 0.414 0.676
O15 O 0.703 0.813 0.424
O16 O 0.741 0.399 0.457
O17 O 0.751 0.060 0.665
O18 O 0.785 0.511 0.070
O19 O 0.813 0.703 0.924
O20 O 0.940 0.249 0.835
# space group: No. 15
# volume: 621.4 Å³/cell
# ΔE_f (raw): -46.7 eV/f.u.
# magnetization: 0.0 μB/cell

3.
# ZnSbPt2 | Alexandria | SCAN | single point on PBEsol structure
data_ZnSbPt2
_chemical_formula_sum 'Zn1 Sb1 Pt2'
_symmetry_space_group_name_H-M 'P 1'
_symmetry_Int_Tables_number 1
_symmetry_space_group_name_Hall 'P 1'
_cell_length_a 3.516
_cell_length_b 4.545
_cell_length_c 4.221
_cell_angle_alpha 90.00
_cell_angle_beta 90.00
_cell_angle_gamma 90.00
loop_
_atom_site_label
_atom_site_type_symbol
_atom_site_fract_x
_atom_site_fract_y
_atom_site_fract_z
Zn1 Zn 0.000 0.000 0.000
Sb1 Sb 0.500 0.500 0.180
Pt1 Pt 0.000 0.500 0.708
Pt2 Pt 0.500 0.000 0.492
# space group: No. 25
# volume: 67.4 Å³/cell
# ΔE_f (raw): -1.2 eV/f.u.
# magnetization: 0.0 μB/cell

4.
# ZrCuNO2 | Alexandria | SCAN | single point on PBEsol structure
data_ZrCuNO2
_chemical_formula_sum 'Zr1 Cu1 N1 O2'
_symmetry_space_group_name_H-M 'P 1'
_symmetry_Int_Tables_number 1
_symmetry_space_group_name_Hall 'P 1'
_cell_length_a 3.613
_cell_length_b 3.613
_cell_length_c 3.791
_cell_angle_alpha 90.00
_cell_angle_beta 90.00
_cell_angle_gamma 90.00
loop_
_atom_site_label
_atom_site_type_symbol
_atom_site_fract_x
_atom_site_fract_y
_atom_site_fract_z
Zr1 Zr 0.000 0.000 0.000
Cu1 Cu 0.500 0.500 0.500
N1 N 0.500 0.500 0.000
O1 O 0.000 0.500 0.500
O2 O 0.500 0.000 0.500
# space group: No. 123
# volume: 49.5 Å³/cell
# ΔE_f (raw): -4.8 eV/f.u.
# magnetization: 0.0 μB/cell